# 1
Here is crystalline TbMg3Cu at its relaxed geometry from the Alexandria database. Energies are from GGA-PBE. Values from VASP.

Cell and atoms, written as Quantum ESPRESSO input:
```
&SYSTEM
  ibrav = 0, nat = 10, ntyp = 3
/
ATOMIC_SPECIES
Cu 63.55 Cu.upf
Mg 24.30 Mg.upf
Tb 158.93 Tb.upf
ATOMIC_POSITIONS crystal
Cu 0.500 0.314 0.314
Mg 0.000 0.500 0.500
Tb 0.500 0.292 0.708
Mg 0.000 0.066 0.324
Mg 0.500 0.000 0.000
Cu 0.500 0.686 0.686
Mg 0.000 0.324 0.066
Mg 0.000 0.934 0.676
Tb 0.500 0.708 0.292
Mg 0.000 0.676 0.934
CELL_PARAMETERS angstrom
4.337 0.000 0.000
0.000 6.896 -2.663
0.000 -0.053 7.392
```

energy above the most stable polymorph in this dataset	0.000	eV/atom
D(E_F)	6.26	states/eV/cell

# 2
Here is crystalline TbMg4Cu2 at its relaxed geometry from the Alexandria database. Energies are from GGA-PBE. Values from VASP.

Cell and atoms, written as Quantum ESPRESSO input:
```
&SYSTEM
  ibrav = 0, nat = 14, ntyp = 3
/
ATOMIC_SPECIES
Mg 24.30 Mg.upf
Tb 158.93 Tb.upf
Cu 63.55 Cu.upf
ATOMIC_POSITIONS crystal
Mg 0.000 0.318 0.083
Tb 0.000 0.500 0.500
Mg 0.500 0.818 0.417
Mg 0.500 0.182 0.583
Tb 0.500 0.000 0.000
Mg 0.000 0.917 0.682
Cu 0.500 0.686 0.686
Mg 0.000 0.083 0.318
Cu 0.500 0.314 0.314
Cu 0.000 0.186 0.814
Cu 0.000 0.814 0.186
Mg 0.500 0.583 0.182
Mg 0.000 0.682 0.917
Mg 0.500 0.417 0.818
CELL_PARAMETERS angstrom
3.439 0.000 0.000
0.000 9.125 0.000
0.000 0.000 9.125
```

energy above the most stable polymorph in this dataset	0.000	eV/atom
D(E_F)	5.56	states/eV/cell

# 3
Here is crystalline Tb2Mg3Cu4 at its relaxed geometry from the Alexandria database. Energies are from GGA-PBE. Values from VASP.

Cell and atoms, written as Quantum ESPRESSO input:
```
&SYSTEM
  ibrav = 0, nat = 18, ntyp = 3
/
ATOMIC_SPECIES
Tb 158.93 Tb.upf
Cu 63.55 Cu.upf
Mg 24.30 Mg.upf
ATOMIC_POSITIONS crystal
Tb 0.099 0.595 0.198
Cu 0.656 0.511 0.313
Mg 0.513 0.750 0.526
Cu 0.675 0.750 0.850
Tb 0.401 0.095 0.802
Cu 0.344 0.489 0.687
Cu 0.175 0.750 0.850
Tb 0.599 0.905 0.198
Tb 0.901 0.405 0.802
Cu 0.156 0.989 0.313
Mg 0.987 0.250 0.474
Mg 0.013 0.750 0.526
Cu 0.325 0.250 0.150
Cu 0.825 0.250 0.150
Mg 0.000 0.000 0.000
Mg 0.487 0.250 0.474
Mg 0.500 0.500 0.000
Cu 0.844 0.011 0.687
CELL_PARAMETERS angstrom
-4.239 3.269 -2.277
-4.405 -5.540 0.247
-0.302 0.637 8.907
```

D(E_F)	11.09	states/eV/cell

In eV/atom, the energy of formation values for the records above are, in order, -0.12, -0.12, -0.12.
In Mg/m³, the ρ values for the records above are, in order, 4.45, 4.44, 6.15.